A geometry-optimized Cd2InHg structure. Source: Alexandria, functional GGA-PBEsol.

Values from the calculation:
The total energy is -5.75 eV/f.u. As for the crystal system: cubic. The calculation puts the energy of formation from the pure elements at 48 meV/atom. The calculation puts the total magnetic moment at 0.000 μB per cell. The polymorph energy (0 for the lowest one) comes out at 0.18 eV/f.u.

Geometry as extended XYZ:
```
4
Lattice="5.0568 0.0000 0.0000 2.5284 4.3793 0.0000 2.5284 1.4598 4.1288" Properties=species:S:1:pos:R:3 pbc="T T T"
Cd 7.5851 4.3793 3.0966
Hg 0.0000 0.0000 0.0000
In 5.0568 2.9195 2.0644
Cd 2.5284 1.4598 1.0322
```